(1)
Ce2ZrS6 (PBE, relaxed); D(E_F) = 2.965 states/eV/cell; calculated volume = 26.660 A^3/atom; mass density = 3.9 g/cm3; formation energy from raw total energies = -1.55 eV/atom; size of the total moment = 0.033 μB/atom
1.0
6.281 0.000 0.000
0.000 6.281 0.000
0.000 0.000 12.164
Ce Zr S
4 2 12
Direct
0.000 0.000 0.169
0.000 0.000 0.831
0.500 0.500 0.331
0.500 0.500 0.669
0.000 0.000 0.500
0.500 0.500 0.000
0.191 0.191 0.344
0.191 0.191 0.656
0.203 0.203 0.000
0.297 0.703 0.500
0.309 0.691 0.156
0.309 0.691 0.844
0.691 0.309 0.156
0.691 0.309 0.844
0.703 0.297 0.500
0.797 0.797 0.000
0.809 0.809 0.344
0.809 0.809 0.656

---

(2)
Nd2PuSi6 (PBE, relaxed); D(E_F) = 8.941 states/eV/cell; calculated volume = 19.812 A^3/atom; mass density = 6.5 g/cm3; formation energy from raw total energies = -0.55 eV/atom; size of the total moment = 0.567 μB/atom
1.0
7.098 0.000 0.000
-3.549 6.147 0.000
0.000 0.000 4.087
Nd Pu Si
2 1 6
Direct
0.333 0.667 0.000
0.667 0.333 0.000
0.000 0.000 0.000
0.000 0.331 0.500
0.000 0.669 0.500
0.331 0.000 0.500
0.331 0.331 0.500
0.669 0.000 0.500
0.669 0.669 0.500